Here is crystalline LiCaTiIr2 at its relaxed geometry from the Alexandria database. Energies are from PBE.

Cell: 4.862 3.932 4.862 Å, 90.00 90.00 90.00°
Element x y z (fractional)
Li: 0.000 0.500 0.000
Ti: 0.500 0.500 0.500
Ir: 0.500 0.000 0.000
Ir: 0.000 0.000 0.500
Ca: 0.000 0.000 0.000

* uncorrected energy: -4.6984 eV/atom
* formation energy from the elements: 6.04 eV per formula unit

***

Here is crystalline Tl2AsPbO4 at its relaxed geometry from the Alexandria database. Energies are from PBE.

Cell: 5.229 8.540 7.700 Å, 90.00 90.00 90.00°
Element x y z (fractional)
O: 0.402 0.062 0.500
Tl: 0.974 0.632 0.272
O: 0.902 0.938 0.000
O: 0.417 0.769 0.685
O: 0.342 0.119 0.000
Pb: 0.968 0.152 0.500
As: 0.507 0.870 0.500
O: 0.417 0.769 0.315
Tl: 0.474 0.368 0.228
O: 0.917 0.231 0.185
Tl: 0.974 0.632 0.728
Pb: 0.468 0.848 0.000
O: 0.917 0.231 0.815
O: 0.842 0.881 0.500
As: 0.007 0.130 0.000
Tl: 0.474 0.368 0.772

* uncorrected energy: -5.1055 eV/atom
* E_form (uncorrected): -990 meV/atom

***

Here is crystalline PC3Se at its relaxed geometry from the Alexandria database. Energies are from PBE.

Cell: 3.707 3.707 3.707 Å, 90.00 90.00 90.00°
Element x y z (fractional)
C: 0.500 0.000 0.000
C: 0.000 0.500 0.000
C: 0.000 0.000 0.500
P: 0.000 0.000 0.000
Se: 0.500 0.500 0.500

* uncorrected energy: -5.1382 eV/atom
* E_form (uncorrected): 2175 meV/atom
* distance to the lowest polymorph of the same formula: 0.0000 eV per atom

***

Here is crystalline Ti2Be16Si at its relaxed geometry from the Alexandria database. Energies are from PBE.

Cell: 5.599 5.599 5.599 Å, 82.77 82.77 82.77°
Element x y z (fractional)
Be: 0.493 0.003 0.003
Be: 0.001 0.303 0.697
Be: 0.003 0.003 0.493
Be: 0.837 0.345 0.345
Be: 0.345 0.837 0.345
Be: 0.103 0.103 0.103
Be: 0.651 0.168 0.651
Be: 0.697 0.303 0.001
Be: 0.651 0.651 0.168
Ti: 0.339 0.339 0.339
Be: 0.303 0.001 0.697
Si: 0.900 0.900 0.900
Be: 0.003 0.493 0.003
Be: 0.345 0.345 0.837
Be: 0.168 0.651 0.651
Ti: 0.660 0.660 0.660
Be: 0.697 0.001 0.303
Be: 0.303 0.697 0.001
Be: 0.001 0.697 0.303

* uncorrected energy: -4.4415 eV/atom
* E_form (uncorrected): -187 meV/atom

***

Here is crystalline ZrCrIn at its relaxed geometry from the Alexandria database. Energies are from PBE.

Cell: 6.109 6.109 3.229 Å, 74.68 74.67 30.65°
Last column: magnetic moment on the atom in μB.
Element x y z (fractional)
Cr: 0.001 0.001 0.999  2.74
In: 0.347 0.347 0.653  -0.02
Zr: 0.652 0.652 0.348  -0.20

* uncorrected energy: -6.8916 eV/atom
* formation energy from the elements: 0.24 eV per formula unit
* distance to the lowest polymorph of the same formula: 0.0000 eV per atom

***

Here is crystalline Hf2Zn2Ni at its relaxed geometry from the Alexandria database. Energies are from PBE.

Cell: 6.512 6.512 3.977 Å, 90.00 90.00 90.00°
Element x y z (fractional)
Ni: 0.500 0.500 0.000
Zn: 0.366 0.866 0.000
Hf: 0.171 0.671 0.500
Hf: 0.829 0.329 0.500
Zn: 0.866 0.634 0.000
Zn: 0.134 0.366 0.000
Ni: 0.000 0.000 0.000
Hf: 0.671 0.829 0.500
Hf: 0.329 0.171 0.500
Zn: 0.634 0.134 0.000

* uncorrected energy: -5.8191 eV/atom
* formation energy from the elements: -0.86 eV per formula unit

***

Here is crystalline SrLaCl2 at its relaxed geometry from the Alexandria database. Energies are from PBE.

Cell: 3.669 3.669 10.495 Å, 90.00 90.00 90.00°
Element x y z (fractional)
Sr: 0.500 0.500 0.750
La: 0.500 0.500 0.250
Cl: 0.000 0.000 0.404
Cl: 0.000 0.000 0.096

* uncorrected energy: -3.9367 eV/atom
* E_form (uncorrected): -1361 meV/atom
* distance to the lowest polymorph of the same formula: 0.2188 eV per atom

***

Here is crystalline Ce6PuNi2 at its relaxed geometry from the Alexandria database. Energies are from PBE.

Cell: 6.337 7.203 9.813 Å, 90.00 88.57 90.00°
Element x y z (fractional)
Ni: 0.940 0.393 0.268
Ce: 0.832 0.654 0.065
Ce: 0.133 0.041 0.262
Ce: 0.332 0.846 0.565
Ni: 0.441 0.107 0.768
Ni: 0.060 0.607 0.732
Ce: 0.633 0.459 0.762
Ce: 0.350 0.804 0.936
Ni: 0.559 0.893 0.232
Ce: 0.150 0.304 0.565
Pu: 0.500 0.500 0.000
Ce: 0.650 0.196 0.064
Ce: 0.867 0.959 0.738
Ce: 0.367 0.541 0.238
Ce: 0.668 0.154 0.435
Ce: 0.850 0.696 0.435
Ce: 0.168 0.346 0.935
Pu: 0.000 0.000 0.500

* uncorrected energy: -6.9817 eV/atom
* formation energy from the elements: -1.34 eV per formula unit